10
Lattice="9.513 0.000 0.000 0.000 9.513 0.000 0.000 0.000 4.130" Properties=species:S:1:pos:R:3 comment="Ba2NaBr2 PBE relaxed" total_energy_ev_per_atom=-2.87 total_magnetization_mub_per_cell=0.000 polymorph_energy_mev_per_atom=59.5 sg="P4/mbm, No. 127" e_form_raw_ev_per_fu=-5.83 n_ef_per_ev_fu=3.449 pbc="T T T"
Ba 1.593 3.163 0.000
Ba 3.163 7.920 0.000
Ba 6.349 1.593 0.000
Ba 7.920 6.349 0.000
Na 0.000 0.000 2.065
Na 4.756 4.756 2.065
Br 1.237 5.993 2.065
Br 3.520 1.237 2.065
Br 5.993 8.276 2.065
Br 8.276 3.520 2.065